[1]
Material: CdInSeO5
Method: DFT, PBE
State: relaxed

Raw formation energy   -0.917 eV/atom
Calculated volume   485.0 Å³/cell
Size of the total moment   3.01 Bohr magnetons per cell
Energy   -157.05 eV for the cell shown

abc: 7.857 8.862 7.876
angles: 90.00 117.83 90.00
Space group C2/c (No. 15)
Asymmetric unit:
Cd (0.000, 0.186, 0.250)
In (0.000, 0.500, 0.000)
Se (0.000, 0.172, 0.750)
O (0.000, 0.430, 0.250)
O (0.071, 0.254, 0.574)
O (0.174, 0.038, 0.879)

***

[2]
Material: TiV3Bi
Method: DFT, PBE
State: relaxed

Calculated volume   119.7 Å³/cell
Size of the total moment   2.10 Bohr magnetons per cell
Energy of formation from the pure elements   1815 meV/atom
Energy   -30.06 eV for the cell shown
ΔE to the lowest computed polymorph   757.9 meV/atom

abc: 4.929 4.929 4.929
angles: 90.00 90.00 90.00
Space group Pm-3m (No. 221)
Asymmetric unit:
Ti (0.000, 0.000, 0.000)
V (0.000, 0.500, 0.500)
Bi (0.500, 0.500, 0.500)